The following is a GGA+U calculation of a relaxed structure of TlCoO3, from OQMD.

Calculated values
- DFT total energy (eV per atom) = -4.108
- SG = No. 221

Lattice parameters (Å, degrees): 4.148 4.148 4.148 90.00 90.00 90.00
Fractional positions:
1 O 0.500 0.000 0.500
2 O 0.000 0.500 0.500
3 Tl 0.500 0.500 0.500
4 O 0.500 0.500 0.000
5 Co 0.000 0.000 0.000